The following is a PBE calculation of an optimized crystal structure of BiPtSe, from Alexandria via LeMat-Bulk.

- total DFT energy (no corrections) (eV/atom) = -4.829
- size of the total moment (μB/f.u.) = 0.00
- symmetry = P2_13, No. 198

Unit cell a=6.548 b=6.548 c=6.548 alpha=90.00 beta=90.00 gamma=90.00
Atoms (fractional coordinates):
Bi 0.129 0.629 0.871
Bi 0.871 0.129 0.629
Bi 0.629 0.871 0.129
Bi 0.371 0.371 0.371
Pt 0.488 0.988 0.512
Pt 0.512 0.488 0.988
Pt 0.012 0.012 0.012
Pt 0.988 0.512 0.488
Se 0.380 0.120 0.880
Se 0.120 0.880 0.380
Se 0.620 0.620 0.620
Se 0.880 0.380 0.120